Record 1
Material: Pm7Dy12In
Method: DFT, PBE
State: optimized geometry

Unit cell a=8.483 b=8.869 c=8.980 alpha=98.88 beta=90.21 gamma=94.58
Fractional coordinates of all 20 atoms:
Pm: 0.000 0.000 0.000
Pm: 0.166 0.688 0.713
Pm: 0.293 0.772 0.051
Pm: 0.370 0.190 0.232
Pm: 0.630 0.810 0.768
Pm: 0.707 0.228 0.949
Pm: 0.834 0.312 0.287
Dy: 0.094 0.202 0.581
Dy: 0.127 0.370 0.975
Dy: 0.168 0.517 0.350
Dy: 0.347 0.061 0.818
Dy: 0.355 0.863 0.440
Dy: 0.456 0.441 0.814
Dy: 0.544 0.559 0.186
Dy: 0.645 0.137 0.560
Dy: 0.653 0.939 0.182
Dy: 0.832 0.483 0.650
Dy: 0.873 0.630 0.025
Dy: 0.906 0.798 0.419
In: 0.500 0.500 0.500

Properties
For the density of states at the Fermi level, the calculation gives 1.42 states/eV/atom. Its formation energy is 0.132 eV/atom.

---

Record 2
Material: CaMgZr2
Method: DFT, PBE
State: optimized geometry

Unit cell a=5.613 b=5.613 c=5.613 alpha=130.38 beta=130.38 gamma=72.81
Fractional coordinates of all 4 atoms:
Ca: 0.000 0.000 0.000
Mg: 0.250 0.750 0.500
Zr: 0.500 0.500 0.000
Zr: 0.750 0.250 0.500

Properties
For the density of states at the Fermi level, the calculation gives 1.64 states/eV/atom. Its formation energy is 0.305 eV/atom.

---

Record 3
Material: SmPaTeIr
Method: DFT, PBE
State: optimized geometry

Unit cell a=7.993 b=7.993 c=7.993 alpha=29.61 beta=29.61 gamma=29.61
Fractional coordinates of all 4 atoms:
Sm: 0.000 0.000 0.000
Pa: 0.804 0.804 0.804
Te: 0.234 0.234 0.234
Ir: 0.411 0.411 0.411

Properties
For the density of states at the Fermi level, the calculation gives 1.11 states/eV/atom. As for the raw formation energy: -0.94 eV/atom.

---

Record 4
Material: CsCu2Cl
Method: DFT, PBE
State: optimized geometry

Unit cell a=10.772 b=10.772 c=10.772 alpha=153.83 beta=153.83 gamma=37.35
Fractional coordinates of all 8 atoms:
Cs: 0.375 0.625 0.750
Cs: 0.625 0.375 0.250
Cu: 0.000 0.000 0.000
Cu: 0.000 0.000 0.500
Cu: 0.000 0.500 0.000
Cu: 0.500 0.000 0.500
Cl: 0.125 0.875 0.250
Cl: 0.875 0.125 0.750

Properties
The calculation puts the offset from the most stable computed form at 0 meV/atom. For the density of states at the Fermi level, the calculation gives 0.40 states/eV/atom. As for the raw formation energy: -0.02 eV/atom.

---

Record 5
Material: Ce3Hf2ZrP6
Method: DFT, PBE
State: optimized geometry

Unit cell a=6.716 b=6.716 c=6.751 alpha=99.54 beta=99.54 gamma=120.02
Fractional coordinates of all 12 atoms:
Ce: 0.000 0.000 0.000
Ce: 0.334 0.666 0.000
Ce: 0.666 0.334 0.000
Hf: 0.167 0.833 0.500
Hf: 0.833 0.167 0.500
Zr: 0.500 0.500 0.500
P: 0.088 0.424 0.272
P: 0.240 0.240 0.727
P: 0.424 0.088 0.272
P: 0.576 0.912 0.728
P: 0.760 0.760 0.273
P: 0.912 0.576 0.728

Properties
For the density of states at the Fermi level, the calculation gives 0.80 states/eV/atom. Its formation energy is -1.442 eV/atom.

---

Record 6
Material: Co6NiIr
Method: DFT, PBE
State: optimized geometry

Unit cell a=5.095 b=5.095 c=4.078 alpha=90.00 beta=90.00 gamma=120.00
Fractional coordinates of all 8 atoms:
Co: 0.000 0.500 0.000
Co: 0.173 0.346 0.500
Co: 0.173 0.827 0.500
Co: 0.500 0.000 0.000
Co: 0.500 0.500 0.000
Co: 0.654 0.827 0.500
Ni: 0.667 0.333 0.500
Ir: 0.000 0.000 0.000

Properties
The calculation puts the offset from the most stable computed form at 0 meV/atom. For the density of states at the Fermi level, the calculation gives 1.06 states/eV/atom. Its formation energy is 0.001 eV/atom.

---

Record 7
Material: KOs
Method: DFT, PBE
State: optimized geometry

Unit cell a=8.493 b=7.881 c=5.329 alpha=77.36 beta=64.88 gamma=37.76
Fractional coordinates of all 8 atoms:
K: 0.031 0.719 0.031
K: 0.281 0.969 0.281
K: 0.719 0.031 0.719
K: 0.969 0.281 0.969
Os: 0.296 0.296 0.454
Os: 0.454 0.454 0.296
Os: 0.546 0.546 0.704
Os: 0.704 0.704 0.546

Properties
The calculation puts the offset from the most stable computed form at 717 meV/atom. For the density of states at the Fermi level, the calculation gives 0.96 states/eV/atom. Its formation energy is 1.415 eV/atom.

---

Record 8
Material: AcDyInAg
Method: DFT, PBE
State: optimized geometry

Unit cell a=5.509 b=5.509 c=5.509 alpha=60.00 beta=60.00 gamma=60.00
Fractional coordinates of all 4 atoms:
Ac: 0.000 0.000 0.000
Dy: 0.500 0.500 0.500
In: 0.250 0.250 0.250
Ag: 0.750 0.750 0.750

Properties
The calculation puts the offset from the most stable computed form at 45 meV/atom. For the density of states at the Fermi level, the calculation gives 0.89 states/eV/atom. Its formation energy is -0.314 eV/atom.

---

Record 9
Material: CaZn12Ag4
Method: DFT, PBE
State: optimized geometry

Unit cell a=7.714 b=7.714 c=7.714 alpha=109.47 beta=109.47 gamma=109.47
Fractional coordinates of all 17 atoms:
Ca: 0.000 0.000 0.000
Zn: 0.146 0.504 0.358
Zn: 0.146 0.789 0.642
Zn: 0.211 0.358 0.854
Zn: 0.358 0.146 0.504
Zn: 0.358 0.854 0.211
Zn: 0.496 0.642 0.854
Zn: 0.504 0.358 0.146
Zn: 0.642 0.146 0.789
Zn: 0.642 0.854 0.496
Zn: 0.789 0.642 0.146
Zn: 0.854 0.211 0.358
Zn: 0.854 0.496 0.642
Ag: 0.000 0.000 0.500
Ag: 0.000 0.500 0.000
Ag: 0.500 0.000 0.000
Ag: 0.500 0.500 0.500

Properties
For the density of states at the Fermi level, the calculation gives 0.28 states/eV/atom. Its formation energy is 0.184 eV/atom.

---

Record 10
Material: MoOsRh2
Method: DFT, PBE
State: optimized geometry

Unit cell a=4.770 b=4.770 c=4.736 alpha=99.50 beta=99.50 gamma=33.34
Fractional coordinates of all 4 atoms:
Mo: 0.000 0.000 0.000
Os: 0.500 0.500 0.500
Rh: 0.248 0.248 0.746
Rh: 0.752 0.752 0.254

Properties
The calculation puts the offset from the most stable computed form at 182 meV/atom. For the density of states at the Fermi level, the calculation gives 1.47 states/eV/atom. Its formation energy is -0.007 eV/atom.

---

Record 11
Material: CsAcTe
Method: DFT, PBE
State: optimized geometry

Unit cell a=4.622 b=4.622 c=8.916 alpha=90.00 beta=90.00 gamma=120.00
Fractional coordinates of all 3 atoms:
Cs: 0.000 0.000 0.000
Ac: 0.333 0.667 0.518
Te: 0.667 0.333 0.297

Properties
The calculation puts the offset from the most stable computed form at 47 meV/atom. For the density of states at the Fermi level, the calculation gives 0.62 states/eV/atom. As for the raw formation energy: -0.70 eV/atom.

---

Record 12
Material: ZrTc3Ir
Method: DFT, PBE
State: optimized geometry

Unit cell a=4.642 b=4.642 c=4.642 alpha=90.00 beta=90.00 gamma=90.00
Fractional coordinates of all 5 atoms:
Zr: 0.000 0.000 0.000
Tc: 0.000 0.000 0.500
Tc: 0.000 0.500 0.000
Tc: 0.500 0.000 0.000
Ir: 0.500 0.500 0.500

Properties
The calculation puts the offset from the most stable computed form at 947 meV/atom. For the density of states at the Fermi level, the calculation gives 1.14 states/eV/atom. Its formation energy is 2.205 eV/atom.

---

Record 13
Material: Ho5In2
Method: DFT, PBE
State: optimized geometry

Unit cell a=8.540 b=8.540 c=9.264 alpha=100.33 beta=100.33 gamma=36.55
Fractional coordinates of all 14 atoms:
Ho: 0.022 0.518 0.673
Ho: 0.112 0.614 0.038
Ho: 0.249 0.751 0.750
Ho: 0.386 0.888 0.462
Ho: 0.482 0.978 0.827
Ho: 0.518 0.022 0.173
Ho: 0.614 0.112 0.538
Ho: 0.751 0.249 0.250
Ho: 0.888 0.386 0.962
Ho: 0.978 0.482 0.327
In: 0.177 0.674 0.392
In: 0.326 0.823 0.108
In: 0.674 0.177 0.892
In: 0.823 0.326 0.608

Properties
The calculation puts the offset from the most stable computed form at 0 meV/atom. For the density of states at the Fermi level, the calculation gives 0.76 states/eV/atom. Its formation energy is -0.273 eV/atom.

---

Record 14
Material: NdPuO6
Method: DFT, PBE
State: optimized geometry

Unit cell a=5.992 b=5.992 c=7.994 alpha=90.04 beta=90.04 gamma=65.58
Fractional coordinates of all 16 atoms:
Nd: 0.000 0.000 0.250
Nd: 0.000 0.000 0.750
Pu: 0.000 0.500 0.000
Pu: 0.500 0.000 0.500
O: 0.125 0.168 0.500
O: 0.168 0.125 0.000
O: 0.183 0.565 0.172
O: 0.186 0.564 0.830
O: 0.435 0.817 0.328
O: 0.436 0.814 0.670
O: 0.564 0.186 0.330
O: 0.565 0.183 0.672
O: 0.814 0.436 0.170
O: 0.817 0.435 0.828
O: 0.832 0.875 0.000
O: 0.875 0.832 0.500

Properties
For the density of states at the Fermi level, the calculation gives 0.75 states/eV/atom. As for the raw formation energy: -2.11 eV/atom.

---

Record 15
Material: In2BiS
Method: DFT, PBE
State: optimized geometry

Unit cell a=9.243 b=9.243 c=9.243 alpha=23.37 beta=23.37 gamma=23.37
Fractional coordinates of all 4 atoms:
In: 0.000 0.000 0.000
In: 0.197 0.197 0.197
Bi: 0.424 0.424 0.424
S: 0.608 0.608 0.608

Properties
The calculation puts the offset from the most stable computed form at 0 meV/atom. For the density of states at the Fermi level, the calculation gives 0.36 states/eV/atom. As for the raw formation energy: -0.14 eV/atom.

---

Record 16
Material: GePO2F
Method: DFT, PBE
State: optimized geometry

Unit cell a=3.785 b=3.785 c=4.230 alpha=90.00 beta=90.00 gamma=90.00
Fractional coordinates of all 5 atoms:
Ge: 0.000 0.000 0.000
P: 0.500 0.500 0.500
O: 0.000 0.500 0.500
O: 0.500 0.000 0.500
F: 0.500 0.500 0.000

Properties
For the density of states at the Fermi level, the calculation gives 0.33 states/eV/atom. As for the raw formation energy: -0.72 eV/atom.

---

Record 17
Material: Tb4Nd4Y3
Method: DFT, PBE
State: optimized geometry

Unit cell a=3.570 b=5.675 c=18.336 alpha=81.11 beta=84.42 gamma=90.00
Fractional coordinates of all 11 atoms:
Tb: 0.091 0.092 0.318
Tb: 0.234 0.733 0.033
Tb: 0.766 0.267 0.967
Tb: 0.909 0.908 0.682
Nd: 0.046 0.547 0.408
Nd: 0.180 0.180 0.140
Nd: 0.820 0.820 0.860
Nd: 0.954 0.453 0.592
Y: 0.363 0.363 0.774
Y: 0.500 0.000 0.500
Y: 0.637 0.637 0.226

Properties
The calculation puts the offset from the most stable computed form at 31 meV/atom. For the density of states at the Fermi level, the calculation gives 1.72 states/eV/atom. Its formation energy is 0.047 eV/atom.

---

Record 18
Material: SmErLuPa
Method: DFT, PBE
State: optimized geometry

Unit cell a=5.546 b=5.546 c=5.546 alpha=60.00 beta=60.00 gamma=60.00
Fractional coordinates of all 4 atoms:
Sm: 0.000 0.000 0.000
Er: 0.500 0.500 0.500
Lu: 0.750 0.750 0.750
Pa: 0.250 0.250 0.250

Properties
For the density of states at the Fermi level, the calculation gives 2.26 states/eV/atom. Its formation energy is 0.365 eV/atom.

---

Record 19
Material: Be2CuH
Method: DFT, PBE
State: optimized geometry

Unit cell a=3.649 b=3.649 c=3.649 alpha=60.00 beta=60.00 gamma=60.00
Fractional coordinates of all 4 atoms:
Be: 0.250 0.250 0.250
Be: 0.750 0.750 0.750
Cu: 0.000 0.000 0.000
H: 0.500 0.500 0.500

Properties
The calculation puts the offset from the most stable computed form at 334 meV/atom. For the density of states at the Fermi level, the calculation gives 0.25 states/eV/atom.

---

Record 20
Material: CoHSeBr
Method: DFT, PBE
State: optimized geometry

Unit cell a=6.482 b=6.482 c=6.482 alpha=33.45 beta=33.45 gamma=33.45
Fractional coordinates of all 4 atoms:
Co: 0.000 0.000 0.000
H: 0.918 0.918 0.918
Se: 0.619 0.619 0.619
Br: 0.123 0.123 0.123

Properties
The calculation puts the offset from the most stable computed form at 134 meV/atom. For the density of states at the Fermi level, the calculation gives 0.57 states/eV/atom.